# KTcOs2 | Alexandria via LeMat-Bulk | PBE | optimized geometry
data_KTcOs2
_chemical_formula_sum 'K1 Tc1 Os2'
_symmetry_space_group_name_H-M 'P 1 m 1'
_symmetry_Int_Tables_number 6
_symmetry_space_group_name_Hall 'P -2y'
_cell_length_a 2.706
_cell_length_b 3.789
_cell_length_c 8.103
_cell_angle_alpha 90.00
_cell_angle_beta 90.18
_cell_angle_gamma 90.00
loop_
_atom_site_label
_atom_site_fract_x
_atom_site_fract_y
_atom_site_fract_z
K1 0.000 0.000 0.000
Tc1 0.505 0.500 0.351
Os1 0.007 0.000 0.519
Os2 0.509 0.500 0.667
# mass density: 10.34 Mg/m³
# DOS(E_F): 3.82 states/eV per cell
# calculated volume: 20.77 Å³ per atom
# E_form: 0.862 eV/atom